1.
{
  "formula": "ZrSc2Ir",
  "functional": "GGA-PBEsol",
  "state": "optimized geometry",
  "e_form_ev_per_fu": -1.9,
  "polymorph_energy_ev_per_atom": 0.0463,
  "lattice": [[-1.7816, -1.6007, 2.0978], [-0.7188, -2.1410, -2.2442], [6.0942, -4.1510, 2.0083]],
  "species": ["Ir", "Sc", "Sc", "Zr"],
  "frac_coords": [[0.5000, 0.5000, 0.5000], [0.0000, 0.0000, 0.7077], [0.0000, 0.0000, 0.2923], [0.5000, 0.5000, 0.0000]]
}

=====

2.
{
  "formula": "ZrScIr3",
  "functional": "GGA-PBEsol",
  "state": "optimized geometry",
  "e_form_ev_per_fu": 4.1,
  "lattice": [[-0.7647, -2.5743, -3.7020], [3.9741, 1.3891, -1.7869], [2.1302, -3.5156, 2.0047]],
  "species": ["Ir", "Ir", "Ir", "Zr", "Sc"],
  "frac_coords": [[0.0000, 0.5000, 0.0000], [0.5000, 0.0000, 0.0000], [0.0000, 0.0000, 0.5000], [0.5000, 0.5000, 0.5000], [0.0000, 0.0000, 0.0000]]
}

=====

3.
{
  "formula": "IrSe",
  "functional": "GGA-PBEsol",
  "state": "optimized geometry",
  "e_form_raw_ev_per_fu": 0.49,
  "lattice": [[-2.5537, 1.0195, -2.2349], [-2.8595, -5.2719, 0.8625], [-0.3663, 3.5699, 4.8560]],
  "species": ["Se", "Se", "Se", "Ir", "Ir", "Ir"],
  "frac_coords": [[0.2416, 0.1555, 0.4832], [0.9987, 0.3530, 0.9973], [0.3662, 0.7404, 0.7324], [0.6563, 0.3253, 0.3125], [0.5522, 0.6432, 0.1045], [0.0184, 0.9494, 0.0368]]
}

=====

4.
{
  "formula": "Ir3Se8",
  "functional": "GGA-PBEsol",
  "state": "optimized geometry",
  "e_form_raw_ev_per_fu": -3.64,
  "lattice": [[5.9518, -0.0033, -0.0033], [-0.0540, 5.9515, -0.0033], [-0.0540, -0.0545, 5.9513]],
  "species": ["Se", "Se", "Se", "Se", "Se", "Se", "Se", "Se", "Ir", "Ir", "Ir"],
  "frac_coords": [[0.8852, 0.1215, 0.6242], [0.8785, 0.3758, 0.1148], [0.6242, 0.8852, 0.1215], [0.6258, 0.6258, 0.6258], [0.1215, 0.6242, 0.8852], [0.3742, 0.3742, 0.3742], [0.1148, 0.8785, 0.3758], [0.3758, 0.1148, 0.8785], [0.5000, 0.5000, 0.0000], [0.5000, 0.0000, 0.5000], [0.0000, 0.5000, 0.5000]]
}

=====

5.
{
  "formula": "SiIr2Se",
  "functional": "GGA-PBEsol",
  "state": "optimized geometry",
  "polymorph_energy_ev_per_atom": 0.1505,
  "e_form_raw_ev_per_fu": 0.35,
  "lattice": [[5.3026, 0.0000, 0.0000], [0.0000, 5.3026, 0.0000], [-2.6513, -2.6513, 5.5581]],
  "species": ["Si", "Si", "Ir", "Ir", "Ir", "Ir", "Se", "Se"],
  "frac_coords": [[0.5000, 0.5000, 0.0000], [0.7500, 0.2500, 0.5000], [0.3877, 0.8750, 0.2500], [0.8623, 0.3750, 0.2500], [0.1250, 0.1377, 0.7500], [0.6250, 0.6123, 0.7500], [0.0000, 0.0000, 0.0000], [0.2500, 0.7500, 0.5000]]
}

=====

6.
{
  "formula": "SiIr2Se",
  "functional": "GGA-PBEsol",
  "state": "optimized geometry",
  "polymorph_energy_ev_per_atom": 0.0000,
  "e_form_raw_ev_per_fu": -0.25,
  "lattice": [[-0.7423, 2.7539, 0.2779], [-2.0115, -0.7478, 2.0377], [6.3476, -0.1887, 4.0478]],
  "species": ["Ir", "Ir", "Se", "Si"],
  "frac_coords": [[0.7124, 0.2124, 0.4248], [0.9347, 0.9347, 0.8694], [0.5527, 0.5527, 0.1053], [0.3002, 0.8002, 0.6005]]
}

=====

7.
{
  "formula": "Si3IrSe",
  "functional": "GGA-PBEsol",
  "state": "optimized geometry",
  "e_form_raw_ev_per_fu": 0.79,
  "lattice": [[-0.7054, -3.7947, 2.4948], [4.5311, -0.7578, 0.1285], [0.3053, 2.4794, 3.8576]],
  "species": ["Si", "Si", "Si", "Se", "Ir"],
  "frac_coords": [[0.0000, 0.5000, 0.0000], [0.0000, 0.0000, 0.5000], [0.5000, 0.0000, 0.0000], [0.5000, 0.5000, 0.5000], [0.0000, 0.0000, 0.0000]]
}

=====

8.
{
  "formula": "SiIr2Se",
  "functional": "GGA-PBEsol",
  "state": "optimized geometry",
  "polymorph_energy_ev_per_atom": 0.3339,
  "e_form_raw_ev_per_fu": 1.08,
  "lattice": [[2.7797, 0.0000, 0.0000], [0.0000, 4.2827, 0.0000], [0.0000, 0.0000, 4.9808]],
  "species": ["Se", "Ir", "Ir", "Si"],
  "frac_coords": [[0.5000, 0.5000, 0.0000], [0.0000, 0.0000, 0.0000], [0.5000, 0.0000, 0.5000], [0.0000, 0.5000, 0.5000]]
}

=====

9.
{
  "formula": "SnIrSe2",
  "functional": "GGA-PBEsol",
  "state": "optimized geometry",
  "e_form_raw_ev_per_fu": 2.18,
  "lattice": [[3.7043, 0.0000, 0.0000], [1.8522, 3.2081, 0.0000], [1.8522, 1.0694, 8.0272]],
  "species": ["Sn", "Se", "Se", "Ir"],
  "frac_coords": [[0.5000, 0.5000, 0.5000], [0.9038, 0.9038, 0.2886], [0.0962, 0.0962, 0.7114], [0.0000, 0.0000, 0.0000]]
}

=====

10.
{
  "formula": "YSn2IrSe",
  "functional": "GGA-PBEsol",
  "state": "optimized geometry",
  "e_form_raw_ev_per_fu": 5.68,
  "lattice": [[-1.9003, 1.2879, 4.2020], [3.2628, -3.8823, 2.6654], [4.1240, 3.9212, 0.6631]],
  "species": ["Y", "Se", "Sn", "Sn", "Ir"],
  "frac_coords": [[0.0000, 0.0000, 0.0000], [0.5000, 0.5000, 0.5000], [0.0000, 0.5000, 0.0000], [0.0000, 0.0000, 0.5000], [0.5000, 0.0000, 0.0000]]
}

=====

11.
{
  "formula": "SrIrSe",
  "functional": "GGA-PBEsol",
  "state": "optimized geometry",
  "polymorph_energy_ev_per_atom": 0.0000,
  "e_form_raw_ev_per_fu": -2.08,
  "lattice": [[4.2133, 0.0000, 0.0000], [-2.1066, 3.6488, 0.0000], [0.0000, 0.0000, 4.3804]],
  "species": ["Ir", "Se", "Sr"],
  "frac_coords": [[0.0000, 0.0000, 0.0000], [0.3333, 0.6667, 0.0000], [0.6667, 0.3333, 0.5000]]
}

=====

12.
{
  "formula": "SrIrSe",
  "functional": "GGA-PBEsol",
  "state": "optimized geometry",
  "polymorph_energy_ev_per_atom": 1.3163,
  "e_form_raw_ev_per_fu": 1.86,
  "lattice": [[-4.3299, 0.8340, -1.8269], [-3.9026, -1.3019, 2.4200], [-2.8153, 3.3222, 1.9542]],
  "species": ["Se", "Sr", "Ir"],
  "frac_coords": [[0.5000, 0.5000, 0.5000], [0.2500, 0.2500, 0.2500], [0.0000, 0.0000, 0.0000]]
}